#P
Here is crystalline ZnSn2Ge2 at its relaxed geometry from Alexandria. Energies are from PBE-GGA.

## Properties
ρ in g cm⁻³: 5.90
Total magnetization in μB/f.u.: 0.000

CIF file:
```
data_ZnSn2Ge2
_chemical_formula_sum 'Zn2 Sn4 Ge4'
_symmetry_space_group_name_H-M 'I 4/m m m'
_symmetry_Int_Tables_number 139
_symmetry_space_group_name_Hall '-I 4 2'
_cell_length_a 5.1570
_cell_length_b 5.1570
_cell_length_c 9.4903
_cell_angle_alpha 90.00
_cell_angle_beta 90.00
_cell_angle_gamma 90.00
loop_
_atom_site_label
_atom_site_fract_x
_atom_site_fract_y
_atom_site_fract_z
Zn1 0.0000 0.0000 0.0000
Sn1 0.0000 0.5000 0.2500
Ge1 0.0000 0.0000 0.3696
```



#Q
Here is crystalline ZnSn2Ge2 at its relaxed geometry from Alexandria. Energies are from PBE-GGA.

## Properties
ρ in g cm⁻³: 6.27
Total magnetization in μB/f.u.: 0.000

CIF file:
```
data_ZnSn2Ge2
_chemical_formula_sum 'Zn2 Sn4 Ge4'
_symmetry_space_group_name_H-M 'P 4/m b m'
_symmetry_Int_Tables_number 127
_symmetry_space_group_name_Hall '-P 4 2ab'
_cell_length_a 7.8572
_cell_length_b 7.8572
_cell_length_c 3.8471
_cell_angle_alpha 90.00
_cell_angle_beta 90.00
_cell_angle_gamma 90.00
loop_
_atom_site_label
_atom_site_fract_x
_atom_site_fract_y
_atom_site_fract_z
Zn1 0.0000 0.0000 0.0000
Sn1 0.1664 0.3336 0.0000
Ge1 0.1249 0.6249 0.5000
```



#R
Here is crystalline ZnSn2Ge2 at its relaxed geometry from Alexandria. Energies are from PBE-GGA.

## Properties
ρ in g cm⁻³: 6.39
Total magnetization in μB/f.u.: 0.000

CIF file:
```
data_ZnSn2Ge2
_chemical_formula_sum 'Zn2 Sn4 Ge4'
_symmetry_space_group_name_H-M 'I 4/m m m'
_symmetry_Int_Tables_number 139
_symmetry_space_group_name_Hall '-I 4 2'
_cell_length_a 3.7333
_cell_length_b 3.7333
_cell_length_c 16.7095
_cell_angle_alpha 90.00
_cell_angle_beta 90.00
_cell_angle_gamma 90.00
loop_
_atom_site_label
_atom_site_fract_x
_atom_site_fract_y
_atom_site_fract_z
Zn1 0.0000 0.0000 0.0000
Sn1 0.0000 0.0000 0.4018
Ge1 0.0000 0.5000 0.2500
```



Stability summary - winner: #R; margin: 3.4 kJ/mol of atoms.



#P
Here is crystalline ZnSnGe2 at its relaxed geometry from Alexandria. Energies are from PBE-GGA.

## Properties
ρ in g cm⁻³: 6.54
Total magnetization in μB/f.u.: 0.000

CIF file:
```
data_ZnSnGe2
_chemical_formula_sum 'Zn4 Sn4 Ge8'
_symmetry_space_group_name_H-M 'F m -3 m'
_symmetry_Int_Tables_number 225
_symmetry_space_group_name_Hall '-F 4 2 3'
_cell_length_a 6.9430
_cell_length_b 6.9430
_cell_length_c 6.9430
_cell_angle_alpha 90.00
_cell_angle_beta 90.00
_cell_angle_gamma 90.00
loop_
_atom_site_label
_atom_site_fract_x
_atom_site_fract_y
_atom_site_fract_z
Zn1 0.0000 0.0000 0.0000
Sn1 0.0000 0.0000 0.5000
Ge1 0.2500 0.2500 0.2500
```



#Q
Here is crystalline ZnSnGe2 at its relaxed geometry from Alexandria. Energies are from PBE-GGA.

## Properties
ρ in g cm⁻³: 5.15
Total magnetization in μB/f.u.: 0.000

CIF file:
```
data_ZnSnGe2
_chemical_formula_sum 'Zn4 Sn4 Ge8'
_symmetry_space_group_name_H-M 'I -4 2 d'
_symmetry_Int_Tables_number 122
_symmetry_space_group_name_Hall 'I -4 2bw'
_cell_length_a 6.0139
_cell_length_b 6.0139
_cell_length_c 11.7559
_cell_angle_alpha 90.00
_cell_angle_beta 90.00
_cell_angle_gamma 90.00
loop_
_atom_site_label
_atom_site_fract_x
_atom_site_fract_y
_atom_site_fract_z
Zn1 0.0000 0.0000 0.0000
Sn1 0.0000 0.0000 0.5000
Ge1 0.2208 0.2500 0.1250
```



Stability summary - winner: #Q; margin: 2.6 kJ/mol of atoms.



#P
Here is crystalline ZrSnGe3 at its relaxed geometry from Alexandria. Energies are from PBE-GGA.

## Properties
ρ in g cm⁻³: 5.04
Total magnetization in μB/f.u.: 0.000

CIF file:
```
data_ZrSnGe3
_chemical_formula_sum 'Zr1 Sn1 Ge3'
_symmetry_space_group_name_H-M 'P m -3 m'
_symmetry_Int_Tables_number 221
_symmetry_space_group_name_Hall '-P 4 2 3'
_cell_length_a 5.2037
_cell_length_b 5.2037
_cell_length_c 5.2037
_cell_angle_alpha 90.00
_cell_angle_beta 90.00
_cell_angle_gamma 90.00
loop_
_atom_site_label
_atom_site_fract_x
_atom_site_fract_y
_atom_site_fract_z
Zr1 0.0000 0.0000 0.0000
Sn1 0.5000 0.5000 0.5000
Ge1 0.0000 0.0000 0.5000
```



#Q
Here is crystalline ZrSnGe3 at its relaxed geometry from Alexandria. Energies are from PBE-GGA.

## Properties
ρ in g cm⁻³: 5.26
Total magnetization in μB/f.u.: 0.000

CIF file:
```
data_ZrSnGe3
_chemical_formula_sum 'Zr1 Sn1 Ge3'
_symmetry_space_group_name_H-M 'P m -3 m'
_symmetry_Int_Tables_number 221
_symmetry_space_group_name_Hall '-P 4 2 3'
_cell_length_a 5.1295
_cell_length_b 5.1295
_cell_length_c 5.1295
_cell_angle_alpha 90.00
_cell_angle_beta 90.00
_cell_angle_gamma 90.00
loop_
_atom_site_label
_atom_site_fract_x
_atom_site_fract_y
_atom_site_fract_z
Zr1 0.0000 0.0000 0.0000
Sn1 0.5000 0.5000 0.5000
Ge1 0.0000 0.5000 0.5000
```



Stability summary - winner: #P; margin: 59.3 kJ/mol of atoms.